HfOs3Pt: optimized geometry, PBE.

Values from the calculation:
raw total energy = -7.44 eV per atom
total magnetic moment = 1.9 μB per formula unit
formation enthalpy at 0 K = 2494 meV per atom

Unit cell a=4.7220 b=4.7220 c=4.7220 alpha=90.00 beta=90.00 gamma=90.00
With the nearest neighbours (Å) after each atom.
Space group Pm-3m (No. 221)
Asymmetric unit:
1 Hf 0.0000 0.0000 0.0000 (multiplicity 1)  6 Os 2.36
2 Os 0.0000 0.0000 0.5000 (multiplicity 3)  2 Hf 2.36
3 Pt 0.5000 0.5000 0.5000 (multiplicity 1)  12 Os 3.34